# Hg6PdPtCl2

A relaxed structure of Hg6PdPtCl2 (PBE, the Alexandria database).

Properties
The value obtained for the formation energy from raw total energies is -157 meV per atom. For the total energy, the calculation gives -36.61 eV/cell. The value obtained for the total magnetic moment is 0.0 Bohr magnetons per cell. The calculated volume is 27.14 A^3/atom.

a b c (Å): 6.8651 8.2725 11.0693
angles (deg): 90.00 120.28 90.00
Positions (direct):
Hg  0.0883  0.0013  0.2672
Hg  0.0883  0.4987  0.7672
Hg  0.2796  0.7391  0.5205
Hg  0.2796  0.7609  0.0205
Hg  0.2810  0.2381  0.0203
Hg  0.2810  0.2619  0.5203
Hg  0.7190  0.7381  0.4797
Hg  0.7190  0.7619  0.9797
Hg  0.7204  0.2391  0.9795
Hg  0.7204  0.2609  0.4795
Hg  0.9117  0.5013  0.2328
Hg  0.9117  0.9987  0.7328
Pd  0.5000  0.0000  0.5000
Pd  0.5000  0.5000  0.0000
Pt  0.0000  0.0000  0.0000
Pt  0.0000  0.5000  0.5000
Cl  0.3267  0.5006  0.2425
Cl  0.3267  0.9994  0.7425
Cl  0.6733  0.0006  0.2575
Cl  0.6733  0.4994  0.7575

=====

# ReGe2Se6

A relaxed structure of ReGe2Se6 (PBE, the Alexandria database).

Properties
The value obtained for the formation energy from raw total energies is -94 meV per atom. For the total energy, the calculation gives -86.87 eV/cell. The value obtained for the total magnetic moment is 0.4 Bohr magnetons per cell. The calculated volume is 25.00 A^3/atom.

a b c (Å): 8.4110 8.4110 6.4958
angles (deg): 97.58 97.58 84.24
Positions (direct):
Re  0.1163  0.8837  0.7500
Re  0.8837  0.1163  0.2500
Ge  0.2174  0.3862  0.6519
Ge  0.3862  0.2174  0.1519
Ge  0.6138  0.7826  0.8481
Ge  0.7826  0.6138  0.3481
Se  0.0180  0.1779  0.6199
Se  0.1102  0.6323  0.8717
Se  0.1779  0.0180  0.1199
Se  0.2847  0.4692  0.3346
Se  0.3677  0.8898  0.6283
Se  0.4692  0.2847  0.8346
Se  0.5308  0.7153  0.1654
Se  0.6323  0.1102  0.3717
Se  0.7153  0.5308  0.6654
Se  0.8221  0.9820  0.8801
Se  0.8898  0.3677  0.1283
Se  0.9820  0.8221  0.3801

=====

# K2HoBe2Se4

A relaxed structure of K2HoBe2Se4 (PBE, the Alexandria database).

Properties
The value obtained for the formation energy from raw total energies is -1099 meV per atom. For the total energy, the calculation gives -38.05 eV/cell. The value obtained for the total magnetic moment is 0.0 Bohr magnetons per cell. The calculated volume is 26.31 A^3/atom.

a b c (Å): 8.9478 8.9478 7.8718
angles (deg): 115.44 115.44 24.73
Positions (direct):
K  0.1340  0.1340  0.1788
K  0.8660  0.8660  0.8212
Ho  0.0000  0.0000  0.5000
Be  0.3628  0.3628  0.2715
Be  0.6372  0.6372  0.7285
Se  0.1866  0.1866  0.6756
Se  0.4706  0.4706  0.2062
Se  0.5294  0.5294  0.7938
Se  0.8134  0.8134  0.3244

=====

# Th7Ni3

A relaxed structure of Th7Ni3 (PBE, the Alexandria database).

Properties
For the total energy, the calculation gives -144.11 eV/cell. The value obtained for the total magnetic moment is 0.0 Bohr magnetons per cell. The calculated volume is 26.03 A^3/atom. The calculation puts the energy relative to the elements at -277.1 meV/atom.

a b c (Å): 9.8341 9.8341 6.2167
angles (deg): 90.00 90.00 120.00
Positions (direct):
Th  0.0881  0.5441  0.0000
Th  0.1267  0.2535  0.7000
Th  0.1267  0.8733  0.7000
Th  0.2535  0.1267  0.2000
Th  0.3333  0.6667  0.5362
Th  0.4559  0.5441  0.0000
Th  0.4559  0.9119  0.0000
Th  0.5441  0.0881  0.5000
Th  0.5441  0.4559  0.5000
Th  0.6667  0.3333  0.0362
Th  0.7465  0.8733  0.7000
Th  0.8733  0.1267  0.2000
Th  0.8733  0.7465  0.2000
Th  0.9119  0.4559  0.5000
Ni  0.1869  0.3737  0.2695
Ni  0.1869  0.8131  0.2695
Ni  0.3737  0.1869  0.7695
Ni  0.6263  0.8131  0.2695
Ni  0.8131  0.1869  0.7695
Ni  0.8131  0.6263  0.7695

=====

# ScIrRu2

A relaxed structure of ScIrRu2 (PBE, the Alexandria database).

Properties
For the total energy, the calculation gives -33.71 eV/cell. The value obtained for the total magnetic moment is 0.5 Bohr magnetons per cell. The calculated volume is 15.66 A^3/atom. The calculation puts the energy relative to the elements at 7.5 meV/atom.

a b c (Å): 3.2258 3.2258 6.0215
angles (deg): 90.00 90.00 90.00
Positions (direct):
Sc  0.0000  0.0000  0.0000
Ir  0.0000  0.0000  0.5000
Ru  0.5000  0.5000  0.2667
Ru  0.5000  0.5000  0.7333

=====

# Sc3Si2Au4

A relaxed structure of Sc3Si2Au4 (PBE, the Alexandria database).

Properties
The value obtained for the formation energy from raw total energies is -691 meV per atom. For the total energy, the calculation gives -49.17 eV/cell. The value obtained for the total magnetic moment is 0.0 Bohr magnetons per cell. The calculated volume is 18.41 A^3/atom.

a b c (Å): 5.5095 5.5095 8.3934
angles (deg): 114.57 114.57 46.85
Positions (direct):
Sc  0.0000  0.0000  0.0000
Sc  0.3434  0.3434  0.3200
Sc  0.6566  0.6566  0.6800
Si  0.3846  0.3846  0.7145
Si  0.6154  0.6154  0.2855
Au  0.0869  0.0869  0.4088
Au  0.3007  0.3007  0.9468
Au  0.6993  0.6993  0.0532
Au  0.9131  0.9131  0.5912

=====

# TmCuAgPd

A relaxed structure of TmCuAgPd (PBE, the Alexandria database).

Properties
For the total energy, the calculation gives -72.91 eV/cell. The value obtained for the total magnetic moment is 0.0 Bohr magnetons per cell. The calculated volume is 18.01 A^3/atom. The calculation puts the energy relative to the elements at -403.7 meV/atom.

a b c (Å): 6.6049 6.6049 6.6049
angles (deg): 90.00 90.00 90.00
Positions (direct):
Tm  0.0000  0.0000  0.0000
Tm  0.0000  0.5000  0.5000
Tm  0.5000  0.0000  0.5000
Tm  0.5000  0.5000  0.0000
Cu  0.2500  0.2500  0.7500
Cu  0.2500  0.7500  0.2500
Cu  0.7500  0.2500  0.2500
Cu  0.7500  0.7500  0.7500
Ag  0.0000  0.0000  0.5000
Ag  0.0000  0.5000  0.0000
Ag  0.5000  0.0000  0.0000
Ag  0.5000  0.5000  0.5000
Pd  0.2500  0.2500  0.2500
Pd  0.2500  0.7500  0.7500
Pd  0.7500  0.2500  0.7500
Pd  0.7500  0.7500  0.2500

=====

# Tl2AgBi

A relaxed structure of Tl2AgBi (PBE, the Alexandria database).

Properties
For the total energy, the calculation gives -11.06 eV/cell. The value obtained for the total magnetic moment is 0.0 Bohr magnetons per cell. The calculated volume is 27.99 A^3/atom. The calculation puts the energy relative to the elements at 101.0 meV/atom.

a b c (Å): 4.5316 4.5316 5.4527
angles (deg): 90.00 90.00 90.00
Positions (direct):
Tl  0.0000  0.5000  0.0000
Tl  0.5000  0.0000  0.0000
Ag  0.0000  0.0000  0.5000
Bi  0.5000  0.5000  0.5000

=====

# Sc2AgCl

A relaxed structure of Sc2AgCl (PBE, the Alexandria database).

Properties
The value obtained for the formation energy from raw total energies is -477 meV per atom. For the total energy, the calculation gives -38.54 eV/cell. The value obtained for the total magnetic moment is 0.0 Bohr magnetons per cell. The calculated volume is 20.58 A^3/atom.

a b c (Å): 3.5481 5.3207 8.7215
angles (deg): 90.00 90.00 90.00
Positions (direct):
Sc  0.0000  0.0000  0.2423
Sc  0.0000  0.0000  0.7577
Sc  0.5000  0.5000  0.2423
Sc  0.5000  0.5000  0.7577
Ag  0.0000  0.5000  0.5000
Ag  0.5000  0.0000  0.5000
Cl  0.0000  0.5000  0.0000
Cl  0.5000  0.0000  0.0000

=====

# HoEr2Zn6

A relaxed structure of HoEr2Zn6 (PBE, the Alexandria database).

Properties
For the total energy, the calculation gives -24.79 eV/cell. The value obtained for the total magnetic moment is 0.0 Bohr magnetons per cell. The calculated volume is 19.86 A^3/atom. The calculation puts the energy relative to the elements at -382.8 meV/atom.

a b c (Å): 7.7165 7.7165 3.4655
angles (deg): 90.00 90.00 120.00
Positions (direct):
Ho  0.0000  0.0000  0.0000
Er  0.3333  0.6667  0.0000
Er  0.6667  0.3333  0.0000
Zn  0.0000  0.3337  0.5000
Zn  0.0000  0.6663  0.5000
Zn  0.3337  0.0000  0.5000
Zn  0.3337  0.3337  0.5000
Zn  0.6663  0.0000  0.5000
Zn  0.6663  0.6663  0.5000

=====

# HfTlSn2

A relaxed structure of HfTlSn2 (PBE, the Alexandria database).

Properties
For the total energy, the calculation gives -20.45 eV/cell. The value obtained for the total magnetic moment is 0.0 Bohr magnetons per cell. The calculated volume is 24.64 A^3/atom. The calculation puts the energy relative to the elements at -31.4 meV/atom.

a b c (Å): 3.9366 3.9366 6.3603
angles (deg): 90.00 90.00 90.00
Positions (direct):
Hf  0.0000  0.0000  0.0000
Tl  0.0000  0.0000  0.5000
Sn  0.5000  0.5000  0.2304
Sn  0.5000  0.5000  0.7696

=====

# TbHoCoRu

A relaxed structure of TbHoCoRu (PBE, the Alexandria database).

Properties
For the total energy, the calculation gives -106.22 eV/cell. The value obtained for the total magnetic moment is 0.0 Bohr magnetons per cell. The calculated volume is 19.15 A^3/atom. The calculation puts the energy relative to the elements at -241.2 meV/atom.

a b c (Å): 6.7415 6.7415 6.7415
angles (deg): 90.00 90.00 90.00
Positions (direct):
Tb  0.0000  0.0000  0.0000
Tb  0.0000  0.5000  0.5000
Tb  0.5000  0.0000  0.5000
Tb  0.5000  0.5000  0.0000
Ho  0.0000  0.0000  0.5000
Ho  0.0000  0.5000  0.0000
Ho  0.5000  0.0000  0.0000
Ho  0.5000  0.5000  0.5000
Co  0.2500  0.2500  0.7500
Co  0.2500  0.7500  0.2500
Co  0.7500  0.2500  0.2500
Co  0.7500  0.7500  0.7500
Ru  0.2500  0.2500  0.2500
Ru  0.2500  0.7500  0.7500
Ru  0.7500  0.2500  0.7500
Ru  0.7500  0.7500  0.2500